Record 1
VASP calculation (GGA-PBE) on an optimized crystal structure of SmEr5In6.

The structure in CIF format:
```
data_SmEr5In6
_cell_length_a 5.3042
_cell_length_b 15.9189
_cell_length_c 7.4808
_cell_angle_alpha 90.00
_cell_angle_beta 90.00
_cell_angle_gamma 90.00
_space_group_name_H-M_alt 'C m m m'
_space_group_IT_number 65
_space_group_name_Hall '-C 2 2'
loop_
_atom_site_label
_atom_site_type_symbol
_atom_site_fract_x
_atom_site_fract_y
_atom_site_fract_z
_atom_site_occupancy
Sm1 Sm 0.0000 0.0000 0.0000 1
Er1 Er 0.0000 0.0000 0.5000 1
Er2 Er 0.0000 0.3326 0.0000 1
Er3 Er 0.0000 0.3355 0.5000 1
In1 In 0.0000 0.1687 0.2539 1
In2 In 0.0000 0.5000 0.2530 1
```

Properties
As for the formation energy: -0.4494 eV/atom. The calculation puts the final energy at -4.113 eV per atom.


Record 2
VASP calculation (GGA-PBE) on an optimized crystal structure of Sc2ReHgPt.

The structure in CIF format:
```
data_Sc2ReHgPt
_cell_length_a 5.0801
_cell_length_b 5.0801
_cell_length_c 4.9049
_cell_angle_alpha 90.00
_cell_angle_beta 90.00
_cell_angle_gamma 90.00
_space_group_name_H-M_alt 'P 4/m m m'
_space_group_IT_number 123
_space_group_name_Hall '-P 4 2'
loop_
_atom_site_label
_atom_site_type_symbol
_atom_site_fract_x
_atom_site_fract_y
_atom_site_fract_z
_atom_site_occupancy
Sc1 Sc 0.0000 0.5000 0.0000 1
Re1 Re 0.0000 0.0000 0.5000 1
Hg1 Hg 0.5000 0.5000 0.0000 1
Pt1 Pt 0.5000 0.5000 0.5000 1
```

Properties
The calculation puts the relative energy among the computed polymorphs at 982 meV/atom. As for the formation energy: 1.3820 eV/atom. The calculation puts the final energy at -4.909 eV per atom.


Record 3
VASP calculation (GGA-PBE) on an optimized crystal structure of La4Pa3FeN8.

The structure in CIF format:
```
data_La4Pa3FeN8
_cell_length_a 7.0862
_cell_length_b 7.0862
_cell_length_c 17.8393
_cell_angle_alpha 90.00
_cell_angle_beta 90.00
_cell_angle_gamma 120.00
_space_group_name_H-M_alt 'R -3 m'
_space_group_IT_number 166
_space_group_name_Hall '-R 3 2"'
loop_
_atom_site_label
_atom_site_type_symbol
_atom_site_fract_x
_atom_site_fract_y
_atom_site_fract_z
_atom_site_occupancy
La1 La 0.0000 0.0000 0.0000 1
La2 La 0.0000 0.5000 0.0000 1
Pa1 Pa 0.0000 0.5000 0.5000 1
Fe1 Fe 0.0000 0.0000 0.5000 1
N1 N 0.0000 0.0000 0.2348 1
N2 N 0.0172 0.5086 0.7629 1
```

Properties
For the uncorrected formation energy, the calculation gives -123.11 kJ per mole of atoms. The calculation puts the final energy at -8.980 eV per atom.


Record 4
VASP calculation (GGA-PBE) on an optimized crystal structure of AcInIr2.

The structure in CIF format:
```
data_AcInIr2
_cell_length_a 5.5908
_cell_length_b 4.4408
_cell_length_c 7.4282
_cell_angle_alpha 90.00
_cell_angle_beta 90.00
_cell_angle_gamma 90.00
_space_group_name_H-M_alt 'P m m a'
_space_group_IT_number 51
loop_
_space_group_symop_operation_xyz
'x,y,z'
'-x,-y,-z'
'-x+1/2,-y,z'
'x+1/2,y,-z'
'x+1/2,-y,-z'
'-x+1/2,y,z'
'-x,y,-z'
'x,-y,z'
loop_
_atom_site_label
_atom_site_type_symbol
_atom_site_fract_x
_atom_site_fract_y
_atom_site_fract_z
_atom_site_occupancy
Ac1 Ac 0.2500 0.0000 0.2185 1
In1 In 0.2500 0.5000 0.8419 1
Ir1 Ir 0.0000 0.5000 0.5000 1
Ir2 Ir 0.2500 0.0000 0.6200 1
```

Properties
As for the formation energy: -0.4239 eV/atom. The calculation puts the final energy at -6.566 eV per atom.


> Which of these has the highest final energy?

SmEr5In6


Copy entry 1 word for word.
VASP calculation (GGA-PBE) on an optimized crystal structure of SmEr5In6.

The structure in CIF format:
```
data_SmEr5In6
_cell_length_a 5.3042
_cell_length_b 15.9189
_cell_length_c 7.4808
_cell_angle_alpha 90.00
_cell_angle_beta 90.00
_cell_angle_gamma 90.00
_space_group_name_H-M_alt 'C m m m'
_space_group_IT_number 65
_space_group_name_Hall '-C 2 2'
loop_
_atom_site_label
_atom_site_type_symbol
_atom_site_fract_x
_atom_site_fract_y
_atom_site_fract_z
_atom_site_occupancy
Sm1 Sm 0.0000 0.0000 0.0000 1
Er1 Er 0.0000 0.0000 0.5000 1
Er2 Er 0.0000 0.3326 0.0000 1
Er3 Er 0.0000 0.3355 0.5000 1
In1 In 0.0000 0.1687 0.2539 1
In2 In 0.0000 0.5000 0.2530 1
```

Properties
As for the formation energy: -0.4494 eV/atom. The calculation puts the final energy at -4.113 eV per atom.